## A
A relaxed B3PbSe crystal, computed with PBE.

Total magnetization = 0.00 Bohr magnetons per cell
Density of states at the Fermi level = 0.533 states/eV/atom
Calculated volume = 77 Å³ per cell

Cell lengths 4.250, 4.250, 4.250 Å; angles 90.00, 90.00, 90.00 degrees
Space group Pm-3m (No. 221)
One atom of each set of equivalent atoms:
B (0.000, 0.000, 0.500)
Pb (0.500, 0.500, 0.500)
Se (0.000, 0.000, 0.000)

=====

## B
A relaxed B3PbSe crystal, computed with PBE.

Total magnetization = 0.00 Bohr magnetons per cell
Density of states at the Fermi level = 0.831 states/eV/atom
Calculated volume = 102 Å³ per cell

Cell lengths 4.677, 4.677, 4.677 Å; angles 90.00, 90.00, 90.00 degrees
Space group Pm-3m (No. 221)
One atom of each set of equivalent atoms:
B (0.000, 0.000, 0.500)
Pb (0.000, 0.000, 0.000)
Se (0.500, 0.500, 0.500)

=====

We find A to be the most stable, with the next structure 53.7 kJ/mol of atoms higher.

=====

## A
A relaxed SiBPb2 crystal, computed with PBE.

Total magnetization = 0.00 Bohr magnetons per cell
Density of states at the Fermi level = 0.483 states/eV/atom
Calculated volume = 407 Å³ per cell

Cell lengths 5.943, 5.943, 11.515 Å; angles 90.00, 90.00, 90.00 degrees
Space group I-42d (No. 122)
One atom of each set of equivalent atoms:
Si (0.000, 0.000, 0.000)
B (0.000, 0.000, 0.500)
Pb (0.202, 0.250, 0.625)

=====

## B
A relaxed SiBPb2 crystal, computed with PBE.

Total magnetization = 0.00 Bohr magnetons per cell
Density of states at the Fermi level = 0.572 states/eV/atom
Calculated volume = 351 Å³ per cell

Cell lengths 7.053, 7.053, 7.053 Å; angles 90.00, 90.00, 90.00 degrees
Space group Fm-3m (No. 225)
One atom of each set of equivalent atoms:
Si (0.000, 0.000, 0.000)
B (0.000, 0.000, 0.500)
Pb (0.250, 0.250, 0.250)

=====

We find A to be the most stable, with the next structure 33.3 kJ/mol of atoms higher.

=====

## A
A relaxed Sn2BPb crystal, computed with PBE.

Total magnetization = 0.00 Bohr magnetons per cell
Density of states at the Fermi level = 0.612 states/eV/atom
Calculated volume = 389 Å³ per cell

Cell lengths 7.297, 7.297, 7.297 Å; angles 90.00, 90.00, 90.00 degrees
Space group Fm-3m (No. 225)
One atom of each set of equivalent atoms:
Sn (0.250, 0.250, 0.250)
B (0.000, 0.000, 0.000)
Pb (0.000, 0.000, 0.500)

=====

## B
A relaxed Sn2BPb crystal, computed with PBE.

Total magnetization = 0.00 Bohr magnetons per cell
Density of states at the Fermi level = 0.340 states/eV/atom
Calculated volume = 434 Å³ per cell

Cell lengths 6.154, 6.154, 11.451 Å; angles 90.00, 90.00, 90.00 degrees
Space group I-42d (No. 122)
One atom of each set of equivalent atoms:
Sn (0.157, 0.250, 0.125)
B (0.000, 0.000, 0.000)
Pb (0.000, 0.000, 0.500)

=====

We find B to be the most stable, with the next structure 53.2 kJ/mol of atoms higher.

=====

## A
A relaxed Sn3BPb crystal, computed with PBE.

Total magnetization = 0.00 Bohr magnetons per cell
Density of states at the Fermi level = 1.398 states/eV/atom
Calculated volume = 196 Å³ per cell

Cell lengths 5.808, 5.808, 5.808 Å; angles 90.00, 90.00, 90.00 degrees
Space group Pm-3m (No. 221)
One atom of each set of equivalent atoms:
Sn (0.000, 0.000, 0.500)
B (0.500, 0.500, 0.500)
Pb (0.000, 0.000, 0.000)

=====

## B
A relaxed Sn3BPb crystal, computed with PBE.

Total magnetization = 0.00 Bohr magnetons per cell
Density of states at the Fermi level = 0.343 states/eV/atom
Calculated volume = 123 Å³ per cell

Cell lengths 4.969, 4.969, 4.969 Å; angles 90.00, 90.00, 90.00 degrees
Space group Pm-3m (No. 221)
One atom of each set of equivalent atoms:
Sn (0.000, 0.000, 0.500)
B (0.000, 0.000, 0.000)
Pb (0.500, 0.500, 0.500)

=====

We find B to be the most stable, with the next structure 116.1 kJ/mol of atoms higher.

=====

## A
A relaxed SrB3Pb crystal, computed with PBE.

Total magnetization = 0.00 Bohr magnetons per cell
Density of states at the Fermi level = 0.797 states/eV/atom
Calculated volume = 123 Å³ per cell

Cell lengths 4.977, 4.977, 4.977 Å; angles 90.00, 90.00, 90.00 degrees
Space group Pm-3m (No. 221)
One atom of each set of equivalent atoms:
Sr (0.000, 0.000, 0.000)
B (0.000, 0.000, 0.500)
Pb (0.500, 0.500, 0.500)

=====

## B
A relaxed SrB3Pb crystal, computed with PBE.

Total magnetization = 0.00 Bohr magnetons per cell
Density of states at the Fermi level = 0.632 states/eV/atom
Calculated volume = 109 Å³ per cell

Cell lengths 4.771, 4.771, 4.771 Å; angles 90.00, 90.00, 90.00 degrees
Space group Pm-3m (No. 221)
One atom of each set of equivalent atoms:
Sr (0.000, 0.000, 0.000)
B (0.000, 0.500, 0.500)
Pb (0.500, 0.500, 0.500)

=====

We find B to be the most stable, with the next structure 67.1 kJ/mol of atoms higher.

=====

## A
A relaxed Sr2BPb crystal, computed with PBE.

Total magnetization = 0.00 Bohr magnetons per cell
Density of states at the Fermi level = 0.812 states/eV/atom
Calculated volume = 469 Å³ per cell

Cell lengths 7.772, 7.772, 7.772 Å; angles 90.00, 90.00, 90.00 degrees
Space group Fm-3m (No. 225)
One atom of each set of equivalent atoms:
Sr (0.250, 0.250, 0.250)
B (0.000, 0.000, 0.000)
Pb (0.000, 0.000, 0.500)

=====

## B
A relaxed Sr2BPb crystal, computed with PBE.

Total magnetization = 4.25 Bohr magnetons per cell
Density of states at the Fermi level = 0.644 states/eV/atom
Calculated volume = 513 Å³ per cell

Cell lengths 8.514, 8.514, 7.082 Å; angles 90.00, 90.00, 90.00 degrees
Space group I-42d (No. 122)
One atom of each set of equivalent atoms:
Sr (0.185, 0.250, 0.125)
B (0.000, 0.000, 0.000)
Pb (0.000, 0.000, 0.500)

=====

We find A to be the most stable, with the next structure 12.8 kJ/mol of atoms higher.